1.
An optimized crystal structure of Ti2P2Pb. Source: Alexandria via LeMat-Bulk, functional PBE.

Summary:
Energy above the most stable polymorph in this dataset, eV per formula unit: 0.32
Uncorrected energy, eV/cell: -64.8
Formation energy from the elements, meV per atom: -413
DOS at the Fermi energy, states/eV/atom: 0.957

Lattice parameters (Å, degrees): 7.360 7.360 3.264 90.00 90.00 90.00
Atoms (fractional coordinates):
P  0.869  0.631  0.000
P  0.369  0.869  0.000
P  0.631  0.131  0.000
P  0.131  0.369  0.000
Ti  0.641  0.859  0.500
Ti  0.141  0.641  0.500
Ti  0.359  0.141  0.500
Ti  0.859  0.359  0.500
Pb  0.500  0.500  0.000
Pb  0.000  0.000  0.000


2.
An optimized crystal structure of La6InRh3. Source: Alexandria via LeMat-Bulk, functional PBE.

Summary:
Uncorrected energy, eV/cell: -120.4
Formation energy from the elements, meV per atom: -585
DOS at the Fermi energy, states/eV/atom: 0.711

Lattice parameters (Å, degrees): 4.179 12.200 12.668 107.60 90.00 90.00
Atoms (fractional coordinates):
La  0.250  0.523  0.388
La  0.250  0.208  0.237
La  0.750  0.707  0.255
La  0.250  0.080  0.915
La  0.750  0.477  0.612
La  0.750  0.792  0.763
La  0.750  0.149  0.470
La  0.250  0.611  0.948
La  0.250  0.851  0.530
La  0.750  0.920  0.085
La  0.250  0.293  0.745
La  0.750  0.389  0.052
Rh  0.250  0.844  0.918
Rh  0.750  0.458  0.839
Rh  0.750  0.156  0.082
Rh  0.750  0.676  0.490
Rh  0.250  0.324  0.510
Rh  0.250  0.542  0.161
In  0.250  0.949  0.305
In  0.750  0.051  0.695


3.
An optimized crystal structure of RbOF4. Source: Alexandria via LeMat-Bulk, functional PBE.

Summary:
Uncorrected energy, eV/cell: -37.7

Lattice parameters (Å, degrees): 4.675 13.062 13.062 139.91 107.35 107.35
Each line ends with the local moment (μB).
Atoms (fractional coordinates):
F  0.412  0.120  0.266  0.00
F  0.641  0.325  0.937  0.46
F  0.141  0.937  0.325  0.46
F  0.588  0.880  0.734  0.00
F  0.912  0.266  0.120  0.00
F  0.088  0.734  0.880  0.00
F  0.359  0.675  0.063  0.46
F  0.859  0.063  0.675  0.46
Rb  0.250  0.308  0.692  0.01
Rb  0.750  0.692  0.308  0.01
O  0.750  0.037  0.963  0.00
O  0.250  0.963  0.037  0.00


4.
An optimized crystal structure of TlAgF2. Source: Alexandria via LeMat-Bulk, functional PBE.

Summary:
Energy above the most stable polymorph in this dataset, eV per formula unit: 0.32
Uncorrected energy, eV/cell: -14.0

Lattice parameters (Å, degrees): 3.325 4.484 4.484 90.00 90.00 90.00
Atoms (fractional coordinates):
Ag  0.500  0.000  0.000
Tl  0.500  0.500  0.500
F  0.000  0.500  0.000
F  0.000  0.000  0.500


5.
An optimized crystal structure of Tm2CuSe. Source: Alexandria via LeMat-Bulk, functional PBE.

Summary:
Energy above the most stable polymorph in this dataset, eV per formula unit: 0.57
Uncorrected energy, eV/cell: -19.9
DOS at the Fermi energy, states/eV/atom: 0.783

Lattice parameters (Å, degrees): 3.870 3.870 7.480 75.01 75.01 60.00
Atoms (fractional coordinates):
Tm  0.078  0.078  0.767
Tm  0.256  0.256  0.232
Se  0.499  0.499  0.503
Cu  0.667  0.667  0.998


6.
An optimized crystal structure of TlBi3Pd3. Source: Alexandria via LeMat-Bulk, functional PBE.

Summary:
Energy above the most stable polymorph in this dataset, eV per formula unit: 0.00
Uncorrected energy, eV/cell: -62.0
Formation energy from the elements, meV per atom: -204
DOS at the Fermi energy, states/eV/atom: 0.317

Lattice parameters (Å, degrees): 6.994 6.994 7.089 83.62 83.62 97.65
Atoms (fractional coordinates):
Tl  0.656  0.656  0.092
Tl  0.344  0.344  0.908
Bi  0.179  0.821  0.000
Bi  0.244  0.756  0.500
Bi  0.821  0.179  0.000
Bi  0.275  0.275  0.461
Bi  0.756  0.244  0.500
Bi  0.725  0.725  0.539
Pd  0.945  0.548  0.802
Pd  0.055  0.452  0.198
Pd  0.985  0.985  0.705
Pd  0.015  0.015  0.295
Pd  0.452  0.055  0.198
Pd  0.548  0.945  0.802